[1]
Material: LaNdPb
Method: DFT, PBE-GGA
State: relaxed

**SG**: F-43m, No. 216
**Energy above the lowest structure with this stoichiometry**: 0.0 meV/atom

Cell: 5.3302 5.3302 5.3302 Å, 60.00 60.00 60.00°
Sites, in units of the cell vectors:
1 La 0.0000 0.0000 0.0000
2 Nd 0.2500 0.2500 0.2500
3 Pb 0.5000 0.5000 0.5000

---

[2]
Material: Pr2CuSb4Te
Method: DFT, PBE-GGA
State: relaxed

**Total DFT energy (no corrections)**: -4.58 eV per atom
**SG**: P-4m2, No. 115

Cell: 4.4911 4.4911 10.6608 Å, 90.00 90.00 90.00°
Sites, in units of the cell vectors:
1 Pr 0.0000 0.5000 0.2412
2 Pr 0.5000 0.0000 0.7588
3 Cu 0.5000 0.5000 0.5000
4 Sb 0.0000 0.0000 0.0000
5 Sb 0.0000 0.5000 0.7229
6 Sb 0.5000 0.0000 0.2771
7 Sb 0.5000 0.5000 0.0000
8 Te 0.0000 0.0000 0.5000

---

[3]
Material: GdYB4
Method: DFT, PBE-GGA
State: relaxed

**Total DFT energy (no corrections)**: -6.83 eV per atom
**SG**: Immm, No. 71

Cell: 5.1100 5.1100 5.1100 Å, 142.25 111.86 80.62°
Sites, in units of the cell vectors:
1 Gd 0.0000 0.0000 0.0000
2 Y 0.5000 0.5000 0.0000
3 B 0.0838 0.7504 0.3334
4 B 0.4170 0.7504 0.6666
5 B 0.5830 0.2496 0.3334
6 B 0.9162 0.2496 0.6666

---

[4]
Material: CsTcP2Ir
Method: DFT, PBE-GGA
State: relaxed

**Total DFT energy (no corrections)**: -6.78 eV per atom
**SG**: I-4m2, No. 119

Cell: 7.5973 7.5973 7.5973 Å, 148.88 148.88 44.59°
Sites, in units of the cell vectors:
1 Cs 0.0000 0.0000 0.0000
2 Tc 0.2500 0.7500 0.5000
3 P 0.3326 0.3326 0.0000
4 P 0.6674 0.6674 0.0000
5 Ir 0.7500 0.2500 0.5000

---

[5]
Material: Y4NiSN2
Method: DFT, PBE-GGA
State: relaxed

**Total DFT energy (no corrections)**: -7.85 eV per atom
**SG**: P-6m2, No. 187

Cell: 3.5664 3.5664 13.0811 Å, 90.00 90.00 120.00°
Sites, in units of the cell vectors:
1 Y 0.0000 0.0000 0.1454
2 Y 0.0000 0.0000 0.8546
3 Y 0.6667 0.3333 0.3537
4 Y 0.6667 0.3333 0.6463
5 Ni 0.0000 0.0000 0.5000
6 S 0.6667 0.3333 0.0000
7 N 0.3333 0.6667 0.2374
8 N 0.3333 0.6667 0.7626

---

[6]
Material: LaTbAg2As4
Method: DFT, PBE-GGA
State: relaxed

**Total DFT energy (no corrections)**: -5.01 eV per atom
**SG**: P4mm, No. 99

Cell: 4.0580 4.0580 10.5239 Å, 90.00 90.00 90.00°
Sites, in units of the cell vectors:
1 La 0.0000 0.0000 0.0000
2 Tb 0.5000 0.5000 0.4558
3 Ag 0.0000 0.5000 0.7211
4 Ag 0.5000 0.0000 0.7211
5 As 0.0000 0.0000 0.5402
6 As 0.0000 0.5000 0.2358
7 As 0.5000 0.0000 0.2358
8 As 0.5000 0.5000 0.9002

---

[7]
Material: RbGdPbSe3
Method: DFT, PBE-GGA
State: relaxed

**Total DFT energy (no corrections)**: -4.49 eV per atom
**SG**: Cmcm, No. 63

Cell: 9.0085 9.0085 12.1581 Å, 90.00 90.00 152.82°
Sites, in units of the cell vectors:
1 Rb 0.1717 0.8283 0.7500
2 Rb 0.8283 0.1717 0.2500
3 Gd 0.5000 0.5000 0.0000
4 Gd 0.5000 0.5000 0.5000
5 Pb 0.1057 0.8943 0.2500
6 Pb 0.8943 0.1057 0.7500
7 Se 0.1117 0.8883 0.0055
8 Se 0.1117 0.8883 0.4945
9 Se 0.4955 0.5045 0.2500
10 Se 0.5045 0.4955 0.7500
11 Se 0.8883 0.1117 0.5055
12 Se 0.8883 0.1117 0.9945

---

[8]
Material: SiPdAu2
Method: DFT, PBE-GGA
State: relaxed

**Total DFT energy (no corrections)**: -4.29 eV per atom
**SG**: F-43m, No. 216

Cell: 4.5371 4.5371 4.5371 Å, 60.00 60.00 60.00°
Sites, in units of the cell vectors:
1 Si 0.0000 0.0000 0.0000
2 Pd 0.2500 0.2500 0.2500
3 Au 0.5000 0.5000 0.5000
4 Au 0.7500 0.7500 0.7500